## CdFe2Cu (PBEsol)

Data for a geometry-optimized CdFe2Cu structure.

a b c (Å): 4.208 4.208 4.208
angles (deg): 60.00 60.00 60.00
Positions (direct):
Cd1 0.500 0.500 0.500
Fe1 0.250 0.250 0.250
Fe2 0.000 0.000 0.000
Cu1 0.750 0.750 0.750

Calculated values
SG: No. 216
Energy of formation: 0.340 eV per atom
Raw total energy: -22.1 eV per cell

## CrBiIN2 (PBEsol)

Data for a geometry-optimized CrBiIN2 structure.

a b c (Å): 4.243 4.243 6.796
angles (deg): 90.00 90.00 90.00
Positions (direct):
I1 0.000 0.000 0.500
N1 0.000 0.500 0.000
N2 0.500 0.000 0.000
Cr1 0.500 0.500 0.500
Bi1 0.000 0.000 0.000

Calculated values
SG: No. 123
E_form (uncorrected): 1.65 eV/atom
Raw total energy: -25.1 eV per cell

## Mg4Tl (PBEsol)

Data for a geometry-optimized Mg4Tl structure.

a b c (Å): 4.438 5.519 5.519
angles (deg): 80.70 66.29 66.29
Positions (direct):
Mg1 0.802 0.598 0.798
Mg2 0.600 0.202 0.598
Mg3 0.198 0.402 0.202
Mg4 0.400 0.798 0.402
Tl1 0.000 0.000 0.000

Calculated values
SG: No. 87
Energy of formation: -0.046 eV per atom
Raw total energy: -9.7 eV per cell

## Zn3AsN (PBEsol)

Data for a geometry-optimized Zn3AsN structure.

a b c (Å): 4.111 4.111 4.111
angles (deg): 90.00 90.00 90.00
Positions (direct):
Zn1 0.000 0.500 0.000
Zn2 0.500 0.000 0.000
Zn3 0.000 0.000 0.500
As1 0.500 0.500 0.500
N1 0.000 0.000 0.000

Calculated values
SG: No. 221
E_form (uncorrected): 0.17 eV/atom
Raw total energy: -17.5 eV per cell

## BaBi2Ir (PBEsol)

Data for a geometry-optimized BaBi2Ir structure.

a b c (Å): 5.286 5.286 5.286
angles (deg): 60.00 60.00 60.00
Positions (direct):
Ba1 0.000 0.000 0.000
Bi1 0.250 0.250 0.250
Bi2 0.750 0.750 0.750
Ir1 0.500 0.500 0.500

Calculated values
SG: No. 225
Energy of formation: 0.146 eV per atom
Raw total energy: -20.0 eV per cell

## ScZn2Co (PBEsol)

Data for a geometry-optimized ScZn2Co structure.

a b c (Å): 3.769 3.769 4.754
angles (deg): 113.35 113.35 90.00
Positions (direct):
Co1 0.500 0.500 0.000
Sc1 0.000 0.000 0.000
Zn1 0.250 0.750 0.500
Zn2 0.750 0.250 0.500

Calculated values
SG: No. 139
Energy of formation: -0.263 eV per atom
Raw total energy: -18.6 eV per cell

Which formula does entry 1 have? CdFe2Cu

Look up the raw total energy of the fifth one. -20.0 eV per cell

Repeat the fifth record exactly.
## BaBi2Ir (PBEsol)

Data for a geometry-optimized BaBi2Ir structure.

a b c (Å): 5.286 5.286 5.286
angles (deg): 60.00 60.00 60.00
Positions (direct):
Ba1 0.000 0.000 0.000
Bi1 0.250 0.250 0.250
Bi2 0.750 0.750 0.750
Ir1 0.500 0.500 0.500

Calculated values
SG: No. 225
Energy of formation: 0.146 eV per atom
Raw total energy: -20.0 eV per cell